VASP calculation (GGA-PBE) on a geometry-optimized ErAg2BiTe4 structure.

Results
spin magnetization: 0.00 μB per cell
ΔE_f (raw): -477 meV/atom
calculated volume: 29.6 Å³/atom
crystal system: monoclinic

Lattice parameters (Å, degrees): 7.466 4.408 7.643 90.00 109.89 90.00
Element x y z (fractional)
Er (0.000, 0.000, 0.000)
Ag (0.500, 0.000, 0.500)
Ag (0.500, 0.500, 0.000)
Bi (0.000, 0.500, 0.500)
Te (0.255, 0.500, 0.246)
Te (0.263, 0.000, 0.759)
Te (0.737, 0.000, 0.241)
Te (0.745, 0.500, 0.754)